DFT (GGA-PBEsol) results for crystalline TaCu2 at its relaxed geometry.

Geometry as extended XYZ:
```
3
Lattice="2.7262 0.0000 0.0000 -1.3631 2.3609 0.0000 0.0000 0.0000 6.5172" Properties=species:S:1:pos:R:3 pbc="T T T"
Ta 0.0000 0.0000 0.0000
Cu 0.0000 1.5740 4.2538
Cu 1.3631 0.7870 2.2634
```

Values from the calculation:
The calculation puts the density of states at the Fermi level at 0.77 states/eV/atom. For the final energy, the calculation gives -6.826 eV/atom. Its volume is 14.0 Å³ per atom. The value obtained for the formation energy is 0.248 eV per atom. The value obtained for the mass density is 12194 kg/m3.